(one)
BiAsSeBr2 PBE relaxed; total moment = 0.00 μB per formula unit
1.0
5.166 0.000 0.000
0.000 5.166 0.000
0.000 0.000 5.366
Bi As Br Se
1 1 2 1
Direct
0.500 0.500 0.500
0.000 0.000 0.000
0.000 0.500 0.000
0.500 0.000 0.000
0.000 0.000 0.500

---

(two)
BiAsSeBr2 PBE relaxed; total moment = 2.25 μB per formula unit
1.0
5.562 0.000 0.000
0.000 5.562 0.000
0.000 0.000 5.987
As Br Se Bi
1 2 1 1
Direct
0.000 0.000 0.500
0.000 0.500 0.000
0.500 0.000 0.000
0.500 0.500 0.500
0.000 0.000 0.000

---

On energetic grounds, (one) is preferred over the next structure by 0.323 eV/atom.

---

(one)
BiAsSe2Br PBE relaxed; total moment = 0.00 μB per formula unit
1.0
5.168 0.000 0.000
0.000 5.168 0.000
0.000 0.000 5.066
As Se Bi Br
1 2 1 1
Direct
0.000 0.000 0.000
0.000 0.500 0.000
0.500 0.000 0.000
0.500 0.500 0.500
0.000 0.000 0.500

---

(two)
BiAsSe2Br PBE relaxed; total moment = 0.54 μB per formula unit
1.0
5.432 0.000 0.000
0.000 5.432 0.000
0.000 0.000 5.842
Br As Bi Se
1 1 1 2
Direct
0.500 0.500 0.500
0.000 0.000 0.500
0.000 0.000 0.000
0.000 0.500 0.000
0.500 0.000 0.000

---

(three)
BiAsSe2Br PBE relaxed; total moment = 0.00 μB per formula unit
1.0
5.205 0.000 0.000
0.000 5.205 0.000
0.000 0.000 5.112
As Br Bi Se
1 1 1 2
Direct
0.000 0.000 0.500
0.000 0.000 0.000
0.500 0.500 0.500
0.500 0.000 0.000
0.000 0.500 0.000

---

(four)
BiAsSe2Br PBE relaxed; total moment = 1.11 μB per formula unit
1.0
5.606 0.000 0.000
0.000 5.606 0.000
0.000 0.000 5.564
Br Bi As Se
1 1 1 2
Direct
0.000 0.000 0.500
0.000 0.000 0.000
0.500 0.500 0.500
0.000 0.500 0.000
0.500 0.000 0.000

---

On energetic grounds, (one) is preferred over the next structure by 0.393 eV/atom.

---

(one)
SiBiAs2Br PBE relaxed; total moment = 0.00 μB per formula unit
1.0
-0.750 -4.765 1.210
4.464 -1.173 -1.853
2.025 0.793 4.376
As Br Si Bi
2 1 1 1
Direct
0.000 0.500 0.000
0.500 0.000 0.000
0.000 0.000 0.500
0.000 0.000 0.000
0.500 0.500 0.500

---

(two)
SiBiAs2Br PBE relaxed; total moment = 0.27 μB per formula unit
1.0
-5.248 1.545 0.579
-1.599 -5.239 -0.514
0.409 -0.662 5.469
As Br Bi Si
2 1 1 1
Direct
0.000 0.500 0.000
0.500 0.000 0.000
0.000 0.000 0.500
0.000 0.000 0.000
0.500 0.500 0.500

---

On energetic grounds, (one) is preferred over the next structure by 0.691 eV/atom.

---

(one)
TaBiAs2Br PBE relaxed; total moment = 0.00 μB per formula unit
1.0
-3.211 -3.745 1.390
1.849 0.188 4.776
-3.453 3.407 1.203
Bi As Ta Br
1 2 1 1
Direct
0.500 0.500 0.500
0.000 0.500 0.000
0.500 0.000 0.000
0.000 0.000 0.000
0.000 0.000 0.500

---

(two)
TaBiAs2Br PBE relaxed; total moment = 2.18 μB per formula unit
1.0
5.410 0.000 0.000
0.000 5.410 0.000
0.000 0.000 5.393
Ta As Bi Br
1 2 1 1
Direct
0.500 0.500 0.500
0.000 0.500 0.000
0.500 0.000 0.000
0.000 0.000 0.000
0.000 0.000 0.500

---

On energetic grounds, (one) is preferred over the next structure by 1.265 eV/atom.

---

(one)
TaBiAsBr2 PBE relaxed; total moment = 3.28 μB per formula unit
1.0
5.524 0.000 0.000
0.000 5.524 0.000
0.000 0.000 5.678
Bi Br Ta As
1 2 1 1
Direct
0.000 0.000 0.000
0.000 0.500 0.000
0.500 0.000 0.000
0.500 0.500 0.500
0.000 0.000 0.500

---

(two)
TaBiAsBr2 PBE relaxed; total moment = 1.32 μB per formula unit
1.0
-4.613 -0.048 2.080
0.196 -5.046 0.318
2.170 0.388 4.822
Ta Bi Br As
1 1 2 1
Direct
0.000 0.000 0.000
0.500 0.500 0.500
0.500 0.000 0.000
0.000 0.500 0.000
0.000 0.000 0.500

---

On energetic grounds, (two) is preferred over the next structure by 1.005 eV/atom.

---

(one)
ZnBiAsBr2 PBE relaxed; total moment = 0.00 μB per formula unit
1.0
-0.527 -1.390 -4.761
0.982 -4.722 1.270
-5.161 -0.853 0.820
Br Bi As Zn
2 1 1 1
Direct
0.500 0.000 0.000
0.000 0.500 0.000
0.500 0.500 0.500
0.000 0.000 0.500
0.000 0.000 0.000

---

(two)
ZnBiAsBr2 PBE relaxed; total moment = 1.87 μB per formula unit
1.0
5.771 0.000 0.000
0.000 5.771 0.000
0.000 0.000 5.829
Br As Bi Zn
2 1 1 1
Direct
0.500 0.000 0.000
0.000 0.500 0.000
0.000 0.000 0.500
0.000 0.000 0.000
0.500 0.500 0.500

---

On energetic grounds, (one) is preferred over the next structure by 0.131 eV/atom.